Record 1
# ZrTaMn | Alexandria via LeMat-Bulk | PBE | optimized geometry
data_ZrTaMn
_cell_length_a 3.338
_cell_length_b 4.845
_cell_length_c 12.822
_cell_angle_alpha 90.00
_cell_angle_beta 90.00
_cell_angle_gamma 90.00
_space_group_name_H-M_alt 'F m m 2'
_space_group_IT_number 42
_space_group_name_Hall 'F 2 -2'
loop_
_atom_site_label
_atom_site_type_symbol
_atom_site_fract_x
_atom_site_fract_y
_atom_site_fract_z
Zr1 Zr 0.000 0.000 0.000
Ta1 Ta 0.000 0.000 0.300
Mn1 Mn 0.000 0.000 0.658
# Crystal system = orthorhombic
# Distance to the lowest polymorph of the same formula = 259 meV per atom
# Formation enthalpy at 0 K = 41 kJ/mol of formula units

Record 2
# Tb2Nd6Sm | Alexandria via LeMat-Bulk | PBE | optimized geometry
data_Tb2Nd6Sm
_cell_length_a 11.860
_cell_length_b 3.497
_cell_length_c 15.584
_cell_angle_alpha 90.00
_cell_angle_beta 101.99
_cell_angle_gamma 90.00
_space_group_name_H-M_alt 'C 1 2/m 1'
_space_group_IT_number 12
_space_group_name_Hall '-C 2y'
loop_
_atom_site_label
_atom_site_type_symbol
_atom_site_fract_x
_atom_site_fract_y
_atom_site_fract_z
Tb1 Tb 0.167 0.000 0.166
Nd1 Nd 0.040 0.500 0.731
Nd2 Nd 0.126 0.000 0.937
Nd3 Nd 0.207 0.000 0.396
Sm1 Sm 0.000 0.500 0.500
# Crystal system = monoclinic
# Distance to the lowest polymorph of the same formula = 0 meV per atom
# Formation enthalpy at 0 K = 154 kJ/mol of formula units

Record 3
# K3PaV2S6 | Alexandria via LeMat-Bulk | PBE | optimized geometry
data_K3PaV2S6
_cell_length_a 6.559
_cell_length_b 11.356
_cell_length_c 7.658
_cell_angle_alpha 90.00
_cell_angle_beta 106.62
_cell_angle_gamma 90.00
_space_group_name_H-M_alt 'C 1 2/m 1'
_space_group_IT_number 12
_space_group_name_Hall '-C 2y'
loop_
_atom_site_label
_atom_site_type_symbol
_atom_site_fract_x
_atom_site_fract_y
_atom_site_fract_z
K1 K 0.000 0.000 0.000
K2 K 0.000 0.335 0.000
Pa1 Pa 0.000 0.500 0.500
V1 V 0.000 0.167 0.500
S1 S 0.212 0.000 0.690
S2 S 0.239 0.324 0.690
# ΔE_f (raw) = -1.2612 eV per atom
# Crystal system = monoclinic

Record 4
# HgIrBr2 | Alexandria via LeMat-Bulk | PBE | optimized geometry
data_HgIrBr2
_cell_length_a 4.484
_cell_length_b 3.396
_cell_length_c 7.544
_cell_angle_alpha 90.00
_cell_angle_beta 107.19
_cell_angle_gamma 90.00
_space_group_name_H-M_alt 'P 1 m 1'
_space_group_IT_number 6
_space_group_name_Hall 'P -2y'
loop_
_atom_site_label
_atom_site_type_symbol
_atom_site_fract_x
_atom_site_fract_y
_atom_site_fract_z
Hg1 Hg 0.000 0.000 0.000
Ir1 Ir 0.473 0.500 0.945
Br1 Br 0.343 0.000 0.684
Br2 Br 0.641 0.500 0.284
# ΔE_f (raw) = 0.1584 eV per atom
# Crystal system = monoclinic
# Distance to the lowest polymorph of the same formula = 79 meV per atom